TiNbCr4: relaxed, PBEsol.

Results
Energy relative to the elements ... -93 meV per atom

Lattice parameters (Å, degrees): 4.8219 4.8219 4.8219 60.00 60.00 60.00
With the nearest neighbours (Å) after each atom.
Fractional positions:
Nb1 0.7500 0.7500 0.7500  12 Cr 2.83, 4 Ti 2.95
Ti1 0.0000 0.0000 0.0000  12 Cr 2.83, 4 Nb 2.95
Cr1 0.3750 0.3750 0.8751  6 Cr 2.41
Cr2 0.8751 0.3750 0.3750  6 Cr 2.41
Cr3 0.3750 0.3750 0.3750  6 Cr 2.41
Cr4 0.3750 0.8751 0.3750  6 Cr 2.41